Below is a relaxed structure of LiMg, with properties calculated at the GGA-PBEsol level.

Values from the calculation:
DOS(E_F) (states/eV/f.u.): 0.861
VASP energy (eV/atom): -1.872
Calculated volume (A^3/atom): 20.6
Formation energy from the elements (eV/atom): -0.031

abc: 3.163 5.032 5.177
angles: 90.00 90.00 90.00
Positions (direct):
Mg  0.500  0.000  0.073
Mg  0.000  0.500  0.927
Li  0.000  0.000  0.567
Li  0.500  0.500  0.433